{"formula": "Cs2Cr2Co", "functional": "PBE-GGA", "state": "relaxed", "lattice": [[6.480, 0.000, 0.000], [0.000, 6.480, 0.000], [0.000, 0.000, 6.297]], "species": ["Cs", "Cs", "Cs", "Cs", "Cr", "Cr", "Cr", "Cr", "Co", "Co"], "fractional_positions": [[0.212, 0.288, 0.000], [0.288, 0.788, 0.000], [0.712, 0.212, 0.000], [0.788, 0.712, 0.000], [0.100, 0.600, 0.500], [0.400, 0.100, 0.500], [0.600, 0.900, 0.500], [0.900, 0.400, 0.500], [0.000, 0.000, 0.500], [0.500, 0.500, 0.500]], "e_tot_ev_per_cell": -41.6, "spacegroup": "P4/mbm, No. 127", "magmom_total_mub_per_cell": 1.91}

=====

{"formula": "UTl3Ge2S6", "functional": "PBE-GGA", "state": "relaxed", "lattice": [[3.470, -5.997, 0.000], [3.470, 5.997, 0.000], [-2.288, 0.000, 7.346]], "species": ["U", "Tl", "Tl", "Tl", "Ge", "Ge", "S", "S", "S", "S", "S", "S"], "fractional_positions": [[0.000, 0.000, 0.000], [0.169, 0.831, 0.500], [0.500, 0.500, 0.500], [0.831, 0.169, 0.500], [0.332, 0.668, 0.000], [0.668, 0.332, 0.000], [0.062, 0.384, 0.190], [0.255, 0.255, 0.805], [0.384, 0.062, 0.190], [0.616, 0.938, 0.810], [0.745, 0.745, 0.195], [0.938, 0.616, 0.810]], "raw_formation_energy_ev_per_atom": -0.626, "e_tot_ev_per_cell": -59.9, "spacegroup": "C2/m, No. 12", "magmom_total_mub_per_cell": 1.01}

=====

{"formula": "KRbB2F8", "functional": "PBE-GGA", "state": "relaxed", "lattice": [[5.270, 0.000, 0.000], [-2.635, 4.564, 0.000], [0.000, 0.000, 8.634]], "species": ["K", "Rb", "B", "B", "F", "F", "F", "F", "F", "F", "F", "F"], "fractional_positions": [[0.000, 0.000, 0.000], [0.000, 0.000, 0.500], [0.333, 0.667, 0.270], [0.667, 0.333, 0.730], [0.101, 0.396, 0.215], [0.295, 0.899, 0.215], [0.333, 0.667, 0.434], [0.396, 0.295, 0.785], [0.604, 0.705, 0.215], [0.667, 0.333, 0.566], [0.705, 0.101, 0.785], [0.899, 0.604, 0.785]], "raw_formation_energy_ev_per_atom": -3.008, "e_tot_ev_per_cell": -66.5, "spacegroup": "P-3, No. 147", "magmom_total_mub_per_cell": 0.32}